Density functional theory data (PBE) for a geometry-optimized ReHg2As structure.

Calculated values
For the formation energy, the calculation gives 0.75 eV/atom. Its calculated volume is 19.64 Å³ per atom.

Cell lengths 2.962, 2.962, 10.595 Å; angles 90.00, 90.00, 122.34 degrees
Element x y z (fractional)
Re 0.500 0.500 0.250
As 0.500 0.500 0.750
Hg 0.000 0.000 0.012
Hg 0.000 0.000 0.488